(1)
{
  "formula": "Na4PaZn3O8",
  "functional": "PBE",
  "state": "relaxed",
  "lattice": [[5.538, -3.180, 0.000], [5.538, 3.180, 0.000], [-3.671, 0.000, 5.566]],
  "species": ["Na", "Na", "Na", "Na", "Pa", "Zn", "Zn", "Zn", "O", "O", "O", "O", "O", "O", "O", "O"],
  "frac_coords": [[0.000, 0.000, 0.000], [0.000, 0.500, 0.000], [0.500, 0.000, 0.000], [0.500, 0.500, 0.000], [0.000, 0.000, 0.500], [0.000, 0.500, 0.500], [0.500, 0.000, 0.500], [0.500, 0.500, 0.500], [0.238, 0.238, 0.720], [0.239, 0.748, 0.723], [0.252, 0.761, 0.277], [0.273, 0.273, 0.319], [0.727, 0.727, 0.681], [0.748, 0.239, 0.723], [0.761, 0.252, 0.277], [0.762, 0.762, 0.280]],
  "e_form_raw_ev_per_atom": -1.85,
  "dos_at_fermi_per_ev_atom": 0.697,
  "energy_ry_per_atom": -0.4035,
  "space_group": "C2/m, No. 12"
}

=====

(2)
{
  "formula": "NaPa2ZnO8",
  "functional": "PBE",
  "state": "relaxed",
  "lattice": [[5.122, 0.000, 0.000], [-2.561, 4.436, 0.000], [0.000, 0.000, 7.396]],
  "species": ["Na", "Pa", "Pa", "Zn", "O", "O", "O", "O", "O", "O", "O", "O"],
  "frac_coords": [[0.000, 0.000, 0.000], [0.333, 0.667, 0.353], [0.667, 0.333, 0.647], [0.000, 0.000, 0.500], [0.180, 0.360, 0.643], [0.180, 0.820, 0.643], [0.333, 0.667, 0.100], [0.360, 0.180, 0.357], [0.640, 0.820, 0.643], [0.667, 0.333, 0.900], [0.820, 0.180, 0.357], [0.820, 0.640, 0.357]],
  "e_form_raw_ev_per_atom": -2.03,
  "dos_at_fermi_per_ev_atom": 0.227,
  "energy_ry_per_atom": -0.5242,
  "space_group": "P-3m1, No. 164"
}

=====

(3)
{
  "formula": "Na2PaZnO5",
  "functional": "PBE",
  "state": "relaxed",
  "lattice": [[5.841, 0.000, 0.000], [0.000, 5.841, 0.000], [0.000, 0.000, 7.034]],
  "species": ["Na", "Na", "Na", "Na", "Pa", "Pa", "Zn", "Zn", "O", "O", "O", "O", "O", "O", "O", "O", "O", "O"],
  "frac_coords": [[0.182, 0.318, 0.000], [0.318, 0.818, 0.000], [0.682, 0.182, 0.000], [0.818, 0.682, 0.000], [0.000, 0.500, 0.500], [0.500, 0.000, 0.500], [0.000, 0.000, 0.500], [0.500, 0.500, 0.500], [0.000, 0.000, 0.000], [0.219, 0.719, 0.326], [0.219, 0.719, 0.674], [0.281, 0.219, 0.326], [0.281, 0.219, 0.674], [0.500, 0.500, 0.000], [0.719, 0.781, 0.326], [0.719, 0.781, 0.674], [0.781, 0.281, 0.326], [0.781, 0.281, 0.674]],
  "e_form_raw_ev_per_atom": -1.65,
  "energy_ry_per_atom": -0.4330,
  "space_group": "P4/mbm, No. 127"
}

=====

(4)
{
  "formula": "Na2PaZn2O6",
  "functional": "PBE",
  "state": "relaxed",
  "lattice": [[5.477, 0.000, 0.000], [-2.739, 4.743, 0.000], [0.000, 0.000, 5.712]],
  "species": ["Na", "Na", "Pa", "Zn", "Zn", "O", "O", "O", "O", "O", "O"],
  "frac_coords": [[0.333, 0.667, 0.000], [0.667, 0.333, 0.000], [0.000, 0.000, 0.500], [0.333, 0.667, 0.500], [0.667, 0.333, 0.500], [0.000, 0.342, 0.700], [0.000, 0.658, 0.300], [0.342, 0.000, 0.700], [0.342, 0.342, 0.300], [0.658, 0.000, 0.300], [0.658, 0.658, 0.700]],
  "e_form_raw_ev_per_atom": -2.00,
  "dos_at_fermi_per_ev_atom": 0.809,
  "energy_ry_per_atom": -0.4435,
  "space_group": "P-31m, No. 162"
}

=====

(5)
{
  "formula": "NaZr2PaO8",
  "functional": "PBE",
  "state": "relaxed",
  "lattice": [[3.578, -3.663, 0.000], [3.578, 3.663, 0.000], [0.000, 0.000, 6.717]],
  "species": ["Na", "Zr", "Zr", "Pa", "O", "O", "O", "O", "O", "O", "O", "O"],
  "frac_coords": [[0.000, 0.000, 0.000], [0.500, 0.500, 0.236], [0.500, 0.500, 0.764], [0.000, 0.000, 0.500], [0.209, 0.209, 0.277], [0.209, 0.209, 0.723], [0.308, 0.692, 0.500], [0.321, 0.679, 0.000], [0.679, 0.321, 0.000], [0.692, 0.308, 0.500], [0.791, 0.791, 0.277], [0.791, 0.791, 0.723]],
  "e_form_raw_ev_per_atom": -2.71,
  "dos_at_fermi_per_ev_atom": 0.782,
  "energy_ry_per_atom": -0.6131,
  "space_group": "Cmmm, No. 65"
}

=====

(6)
{
  "formula": "Na2ZrPaO6",
  "functional": "PBE",
  "state": "relaxed",
  "lattice": [[5.019, -2.994, 0.000], [5.019, 2.994, 0.000], [-3.339, 0.000, 4.763]],
  "species": ["Na", "Na", "Zr", "Pa", "O", "O", "O", "O", "O", "O"],
  "frac_coords": [[0.249, 0.249, 0.272], [0.751, 0.751, 0.728], [0.000, 0.000, 0.500], [0.500, 0.500, 0.000], [0.191, 0.696, 0.691], [0.247, 0.247, 0.855], [0.304, 0.809, 0.309], [0.696, 0.191, 0.691], [0.753, 0.753, 0.145], [0.809, 0.304, 0.309]],
  "e_form_raw_ev_per_atom": -2.71,
  "dos_at_fermi_per_ev_atom": 0.881,
  "energy_ry_per_atom": -0.5695,
  "space_group": "C2/m, No. 12"
}

=====

The records above give, respectively, V values of 196.03 168.04 119.99 148.39 176.09 143.16 Å³/f.u..